## Ag5Br5Cl (GGA-PBE)

Data for a geometry-optimized Ag5Br5Cl structure.

Calculated values
Total magnetization in μB per cell: 0.0
Formation energy from raw total energies in eV/f.u.: -3.448
Density in g cm⁻³: 5.7
D(E_F) in states/eV per atom: 0.384

Lattice parameters (Å, degrees): 7.278 7.278 8.247 111.83 111.83 45.13
Sites, in units of the cell vectors:
Ag  0.000  0.000  0.000
Ag  0.336  0.336  0.174
Ag  0.345  0.345  0.665
Ag  0.655  0.655  0.335
Ag  0.664  0.664  0.826
Br  0.168  0.168  0.332
Br  0.170  0.170  0.844
Br  0.500  0.500  0.500
Br  0.830  0.830  0.156
Br  0.832  0.832  0.668
Cl  0.500  0.500  0.000

***

## Rb2Ga3Bi2 (GGA-PBE)

Data for a geometry-optimized Rb2Ga3Bi2 structure.

Calculated values
Total magnetization in μB per cell: 0.0
Density in g cm⁻³: 6.0
Energy of formation in eV/atom: -0.13
D(E_F) in states/eV per atom: 0.555

Lattice parameters (Å, degrees): 6.970 6.970 7.608 119.15 119.15 44.45
Sites, in units of the cell vectors:
Rb  0.156  0.156  0.290
Rb  0.844  0.844  0.710
Ga  0.426  0.426  0.100
Ga  0.500  0.500  0.500
Ga  0.574  0.574  0.900
Bi  0.155  0.155  0.791
Bi  0.845  0.845  0.209

***

## Be2NbNi2 (GGA-PBE)

Data for a geometry-optimized Be2NbNi2 structure.

Calculated values
Total magnetization in μB per cell: 0.0
E above lowest polymorph in meV/atom: 165
Density in g cm⁻³: 6.6
Energy of formation in eV/atom: -0.09
D(E_F) in states/eV per atom: 1.002

Lattice parameters (Å, degrees): 4.914 4.914 4.914 135.72 135.72 64.41
Sites, in units of the cell vectors:
Be  0.250  0.750  0.500
Be  0.750  0.250  0.500
Nb  0.000  0.000  0.000
Ni  0.367  0.367  0.000
Ni  0.633  0.633  0.000

***

## SrLiAlAg (GGA-PBE)

Data for a geometry-optimized SrLiAlAg structure.

Calculated values
Total magnetization in μB per cell: 0.0
E above lowest polymorph in meV/atom: 0
Density in g cm⁻³: 3.8
Energy of formation in eV/atom: -0.22
D(E_F) in states/eV per atom: 0.658

Lattice parameters (Å, degrees): 4.589 4.589 6.104 112.00 112.00 59.97
Sites, in units of the cell vectors:
Sr  0.000  0.000  0.000
Li  0.806  0.806  0.416
Al  0.517  0.517  0.551
Ag  0.198  0.198  0.593

***

## NaTmLuTl (GGA-PBE)

Data for a geometry-optimized NaTmLuTl structure.

Calculated values
Total magnetization in μB per cell: 0.0
Density in g cm⁻³: 8.9
Energy of formation in eV/atom: 0.01
D(E_F) in states/eV per atom: 0.704

Lattice parameters (Å, degrees): 5.327 5.327 5.327 60.00 60.00 60.00
Sites, in units of the cell vectors:
Na  0.000  0.000  0.000
Tm  0.750  0.750  0.750
Lu  0.250  0.250  0.250
Tl  0.500  0.500  0.500

***

## CaNdZn2Pd2 (GGA-PBE)

Data for a geometry-optimized CaNdZn2Pd2 structure.

Calculated values
Total magnetization in μB per cell: 0.0
Density in g cm⁻³: 6.7
Energy of formation in eV/atom: -0.62
D(E_F) in states/eV per atom: 0.669

Lattice parameters (Å, degrees): 4.431 4.431 7.693 90.00 90.00 120.00
Sites, in units of the cell vectors:
Ca  0.000  0.000  0.000
Nd  0.000  0.000  0.500
Zn  0.333  0.667  0.753
Zn  0.667  0.333  0.247
Pd  0.333  0.667  0.256
Pd  0.667  0.333  0.744

***

## ScIn2Au (GGA-PBE)

Data for a geometry-optimized ScIn2Au structure.

Calculated values
Total magnetization in μB per cell: 0.4
Density in g cm⁻³: 9.1
Energy of formation in eV/atom: -0.28
D(E_F) in states/eV per atom: 0.489

Lattice parameters (Å, degrees): 3.325 3.325 7.783 90.00 90.00 90.00
Sites, in units of the cell vectors:
Sc  0.000  0.000  0.000
In  0.500  0.500  0.265
In  0.500  0.500  0.735
Au  0.000  0.000  0.500

***

## PmSm5Y3 (GGA-PBE)

Data for a geometry-optimized PmSm5Y3 structure.

Calculated values
Total magnetization in μB per cell: 0.0
E above lowest polymorph in meV/atom: 127
Density in g cm⁻³: 6.0
Energy of formation in eV/atom: 0.40
D(E_F) in states/eV per atom: 1.451

Lattice parameters (Å, degrees): 9.402 9.402 12.449 126.26 126.26 51.40
Sites, in units of the cell vectors:
Pm  0.237  0.237  0.128
Pm  0.763  0.763  0.872
Sm  0.130  0.130  0.570
Sm  0.139  0.733  0.223
Sm  0.267  0.861  0.777
Sm  0.303  0.303  0.934
Sm  0.318  0.682  0.000
Sm  0.682  0.318  0.000
Sm  0.697  0.697  0.066
Sm  0.733  0.139  0.223
Sm  0.861  0.267  0.777
Sm  0.870  0.870  0.430
Y  0.000  0.000  0.000
Y  0.180  0.180  0.343
Y  0.386  0.386  0.687
Y  0.500  0.500  0.500
Y  0.614  0.614  0.313
Y  0.820  0.820  0.657

***

## LiPuSn (GGA-PBE)

Data for a geometry-optimized LiPuSn structure.

Calculated values
Total magnetization in μB per cell: 11.2
Density in g cm⁻³: 9.2
Energy of formation in eV/atom: -0.32
D(E_F) in states/eV per atom: 2.714

Lattice parameters (Å, degrees): 5.022 5.022 6.140 90.00 90.00 120.00
Sites, in units of the cell vectors:
Li  0.333  0.667  0.250
Li  0.667  0.333  0.750
Pu  0.000  0.000  0.000
Pu  0.000  0.000  0.500
Sn  0.333  0.667  0.750
Sn  0.667  0.333  0.250

***

## Sr2W (GGA-PBE)

Data for a geometry-optimized Sr2W structure.

Calculated values
Total magnetization in μB per cell: 0.0
E above lowest polymorph in meV/atom: 559
Density in g cm⁻³: 6.6
Energy of formation in eV/atom: 1.18
D(E_F) in states/eV per atom: 1.056

Lattice parameters (Å, degrees): 8.883 8.883 8.883 158.93 158.93 29.97
Sites, in units of the cell vectors:
Sr  0.139  0.139  0.000
Sr  0.861  0.861  0.000
W  0.500  0.500  0.000

***

## LiTbBi (GGA-PBE)

Data for a geometry-optimized LiTbBi structure.

Calculated values
Total magnetization in μB per cell: 0.3
E above lowest polymorph in meV/atom: 279
Density in g cm⁻³: 7.8
Energy of formation in eV/atom: -0.35
D(E_F) in states/eV per atom: 0.774

Lattice parameters (Å, degrees): 5.412 5.412 5.412 134.16 134.16 66.84
Sites, in units of the cell vectors:
Li  0.000  0.000  0.000
Tb  0.339  0.339  0.000
Bi  0.686  0.686  0.000

***

## Li2CrOs (GGA-PBE)

Data for a geometry-optimized Li2CrOs structure.

Calculated values
Total magnetization in μB per cell: 0.0
E above lowest polymorph in meV/atom: 630
Density in g cm⁻³: 9.0
Energy of formation in eV/atom: 0.87
D(E_F) in states/eV per atom: 2.188

Lattice parameters (Å, degrees): 4.058 4.058 4.058 60.00 60.00 60.00
Sites, in units of the cell vectors:
Li  0.250  0.250  0.250
Li  0.750  0.750  0.750
Cr  0.000  0.000  0.000
Os  0.500  0.500  0.500